## Sc2AgSb (GGA-PBE)

Data for a geometry-optimized Sc2AgSb structure.

The structure belongs to space group P4/mmm (No. 123); the cell edges are 4.677, 4.677 and 3.933 Å and the angles 90.00°, 90.00° and 90.00°. The distinct sites, in fractional coordinates, are Sc at (0.000, 0.500, 0.000), Ag at (0.000, 0.000, 0.500) and Sb at (0.500, 0.500, 0.500).

The calculation puts the final energy at -5.44 eV/atom. The magnetization is 1.0 μB per formula unit. The density of states at the Fermi level is 2.85 states/eV/f.u.

---

## MnCuP2 (GGA-PBE)

Data for a geometry-optimized MnCuP2 structure.

The structure belongs to space group I-4m2 (No. 119); the cell edges are 3.504, 3.504 and 8.604 Å and the angles 90.00°, 90.00° and 90.00°. The distinct sites, in fractional coordinates, are Mn at (0.000, 0.000, 0.000), Cu at (0.000, 0.500, 0.250), P at (0.000, 0.000, 0.500) and P at (0.000, 0.500, 0.750).

For the energy relative to the elements, the calculation gives 0.137 eV/atom. The magnetization is 2.9 μB per formula unit. The density of states at the Fermi level is 2.16 states/eV/f.u.

---

## TbHf2Zr (GGA-PBE)

Data for a geometry-optimized TbHf2Zr structure.

The structure belongs to space group P4/mmm (No. 123); the cell edges are 3.767, 3.767 and 6.974 Å and the angles 90.00°, 90.00° and 90.00°. The distinct sites, in fractional coordinates, are Tb at (0.000, 0.000, 0.000), Hf at (0.500, 0.500, 0.288) and Zr at (0.000, 0.000, 0.500).

For the energy relative to the elements, the calculation gives 0.153 eV/atom. As for the polymorph energy (0 for the lowest one): 0.13 eV per formula unit. The magnetization is 0.0 μB per formula unit. The density of states at the Fermi level is 4.62 states/eV/f.u.

---

## NpTiTe2O (GGA-PBE)

Data for a geometry-optimized NpTiTe2O structure.

The structure belongs to space group P4/nmm (No. 129, origin choice 2); the cell edges are 3.644, 3.644 and 17.305 Å and the angles 90.00°, 90.00° and 90.00°. The distinct sites, in fractional coordinates, are Np at (0.250, 0.250, 0.043), Ti at (0.250, 0.250, 0.558), Te at (0.250, 0.250, 0.342), Te at (0.250, 0.250, 0.858) and O at (0.250, 0.750, 0.500).

The calculation puts the final energy at -7.54 eV/atom. The magnetization is 3.9 μB per formula unit. The density of states at the Fermi level is 6.41 states/eV/f.u.

---

## CeTi2Nb (GGA-PBE)

Data for a geometry-optimized CeTi2Nb structure.

The structure belongs to space group Fm-3m (No. 225); the cell edges are 6.773, 6.773 and 6.773 Å and the angles 90.00°, 90.00° and 90.00°. The distinct sites, in fractional coordinates, are Ce at (0.000, 0.000, 0.000), Ti at (0.250, 0.250, 0.250) and Nb at (0.000, 0.000, 0.500).

For the energy relative to the elements, the calculation gives 0.167 eV/atom. As for the polymorph energy (0 for the lowest one): 0.21 eV per formula unit. The magnetization is 0.0 μB per formula unit. The density of states at the Fermi level is 9.46 states/eV/f.u.

---

## Re2Au (GGA-PBE)

Data for a geometry-optimized Re2Au structure.

The structure belongs to space group C2/m (No. 12); the cell edges are 10.201, 2.853 and 6.784 Å and the angles 90.00°, 104.12° and 90.00°. The distinct sites, in fractional coordinates, are Re at (0.022, 0.000, 0.321), Re at (0.191, 0.500, 0.620) and Au at (0.139, 0.500, 0.037).

For the energy relative to the elements, the calculation gives 0.250 eV/atom. As for the polymorph energy (0 for the lowest one): 0.09 eV per formula unit. The magnetization is 0.0 μB per formula unit. The density of states at the Fermi level is 1.86 states/eV/f.u.

---

- The highest magnetization belongs to which entry?
  NpTiTe2O